# 1
A plane-wave DFT calculation with PBE-GGA was carried out for a relaxed La2HAu2 crystal.

Values from the calculation:
Total moment, μB per formula unit: 0.0
E, eV for the cell shown: -44.660

Lattice parameters (Å, degrees): 7.5624 7.5624 4.4527 90.00 90.00 90.00
Fractional coordinates of all 10 atoms:
H 0.5000 0.5000 0.0000
H 0.0000 0.0000 0.0000
Au 0.6316 0.8684 0.5000
Au 0.1316 0.6316 0.5000
Au 0.8684 0.3684 0.5000
Au 0.3684 0.1316 0.5000
La 0.1774 0.3226 0.0000
La 0.8226 0.6774 0.0000
La 0.6774 0.1774 0.0000
La 0.3226 0.8226 0.0000

---

# 2
A plane-wave DFT calculation with PBE-GGA was carried out for a relaxed YAs2W crystal.

Values from the calculation:
E_form, eV/atom: -0.29
Total moment, μB per formula unit: 0.0
Offset from the most stable computed form, meV per atom: 147
E, eV for the cell shown: -29.882

Lattice parameters (Å, degrees): 4.6976 4.6976 4.6976 60.00 60.00 60.00
Fractional coordinates of all 4 atoms:
Y 0.0000 0.0000 0.0000
As 0.2500 0.2500 0.2500
As 0.7500 0.7500 0.7500
W 0.5000 0.5000 0.5000

---

# 3
A plane-wave DFT calculation with PBE-GGA was carried out for a relaxed IrSe3 crystal.

Values from the calculation:
Energy relative to the elements, uncorrected, eV per atom: 0.1019
Total moment, μB per formula unit: 0.0
Offset from the most stable computed form, meV per atom: 280
E, eV for the cell shown: -18.907

Lattice parameters (Å, degrees): 7.5290 7.5290 7.5290 27.71 27.71 27.71
Fractional coordinates of all 4 atoms:
Se 0.5000 0.5000 0.5000
Se 0.2677 0.2677 0.2677
Se 0.7323 0.7323 0.7323
Ir 0.0000 0.0000 0.0000

---

# 4
A plane-wave DFT calculation with PBE-GGA was carried out for a relaxed Th4FeNi crystal.

Values from the calculation:
E_form, eV/atom: -0.17
Total moment, μB per formula unit: 0.0
E, eV for the cell shown: -89.881

Lattice parameters (Å, degrees): 6.1866 6.9084 8.1395 90.00 118.50 90.00
Fractional coordinates of all 12 atoms:
Fe 0.3425 0.2500 0.0519
Fe 0.6575 0.7500 0.9481
Ni 0.1462 0.7500 0.4501
Ni 0.8538 0.2500 0.5499
Th 0.7389 0.9999 0.2430
Th 0.8355 0.2500 0.8964
Th 0.2611 0.4999 0.7570
Th 0.6776 0.7500 0.6166
Th 0.7389 0.5001 0.2430
Th 0.1645 0.7500 0.1036
Th 0.2611 0.0001 0.7570
Th 0.3224 0.2500 0.3834

---

# 5
A plane-wave DFT calculation with PBE-GGA was carried out for a relaxed YGaCu3 crystal.

Values from the calculation:
E_form, eV/atom: 0.06
Total moment, μB per formula unit: 0.0
Offset from the most stable computed form, meV per atom: 286
E, eV for the cell shown: -21.489

Lattice parameters (Å, degrees): 4.5257 4.5257 4.5257 90.00 90.00 90.00
Fractional coordinates of all 5 atoms:
Cu 0.5000 0.0000 0.0000
Cu 0.0000 0.0000 0.5000
Cu 0.0000 0.5000 0.0000
Y 0.5000 0.5000 0.5000
Ga 0.0000 0.0000 0.0000

---

# 6
A plane-wave DFT calculation with PBE-GGA was carried out for a relaxed SbPbSe2F crystal.

Values from the calculation:
Energy relative to the elements, uncorrected, eV per atom: -0.9398
Total moment, μB per formula unit: 0.0
E, eV for the cell shown: -42.740

Lattice parameters (Å, degrees): 4.1179 4.1179 14.6296 90.00 90.00 90.00
Fractional coordinates of all 10 atoms:
F 0.5000 0.5000 0.5000
F 0.0000 0.0000 0.5000
Se 0.5000 0.0000 0.3057
Se 0.0000 0.5000 0.6943
Se 0.0000 0.5000 0.1069
Se 0.5000 0.0000 0.8931
Pb 0.0000 0.5000 0.3933
Pb 0.5000 0.0000 0.6067
Sb 0.5000 0.0000 0.1298
Sb 0.0000 0.5000 0.8702

---

# 7
A plane-wave DFT calculation with PBE-GGA was carried out for a relaxed PmScCuPt2 crystal.

Values from the calculation:
E_form, eV/atom: -0.91
Total moment, μB per formula unit: 0.0
E, eV for the cell shown: -31.790

Lattice parameters (Å, degrees): 3.9527 3.9527 6.9957 106.41 106.41 90.00
Fractional coordinates of all 5 atoms:
Pm 0.0000 0.0000 0.0000
Pt 0.6068 0.6068 0.2135
Pt 0.3932 0.3932 0.7865
Sc 0.7500 0.2500 0.5000
Cu 0.2500 0.7500 0.5000

---

# 8
A plane-wave DFT calculation with PBE-GGA was carried out for a relaxed NiHgW2 crystal.

Values from the calculation:
E_form, eV/atom: 0.53
Total moment, μB per formula unit: 0.0
E, eV for the cell shown: -29.864

Lattice parameters (Å, degrees): 3.7967 3.8025 4.3630 90.00 90.00 90.00
Fractional coordinates of all 4 atoms:
Ni 0.0000 0.5000 0.5000
Hg 0.5000 0.0000 0.5000
W 0.0000 0.0000 0.0000
W 0.5000 0.5000 0.0000

---

# 9
A plane-wave DFT calculation with PBE-GGA was carried out for a relaxed NaHo4Ag5 crystal.

Values from the calculation:
E_form, eV/atom: -0.25
Total moment, μB per formula unit: 0.0
E, eV for the cell shown: -36.401

Lattice parameters (Å, degrees): 3.5807 3.5807 18.5243 90.00 90.00 90.00
Fractional coordinates of all 10 atoms:
Ag 0.5000 0.5000 0.3011
Ag 0.5000 0.5000 0.8933
Ag 0.5000 0.5000 0.6989
Ag 0.5000 0.5000 0.1067
Ag 0.5000 0.5000 0.5000
Na 0.0000 0.0000 0.0000
Ho 0.0000 0.0000 0.7995
Ho 0.0000 0.0000 0.4004
Ho 0.0000 0.0000 0.5996
Ho 0.0000 0.0000 0.2005

---

# 10
A plane-wave DFT calculation with PBE-GGA was carried out for a relaxed LaTa2Zn crystal.

Values from the calculation:
E_form, eV/atom: 0.50
Total moment, μB per formula unit: 0.0
E, eV for the cell shown: -27.894

Lattice parameters (Å, degrees): 5.5400 5.5400 5.5400 135.04 135.04 65.46
Fractional coordinates of all 4 atoms:
La 0.7500 0.2500 0.5000
Ta 0.0000 0.0000 0.0000
Ta 0.5000 0.5000 0.0000
Zn 0.2500 0.7500 0.5000

---

# 11
A plane-wave DFT calculation with PBE-GGA was carried out for a relaxed AlInPbO4 crystal.

Values from the calculation:
Energy relative to the elements, uncorrected, eV per atom: -1.7932
Total moment, μB per formula unit: 0.0
E, eV for the cell shown: -85.149

Lattice parameters (Å, degrees): 5.6574 5.7440 6.8190 90.00 104.74 90.00
Fractional coordinates of all 14 atoms:
Pb 0.2849 0.2500 0.0940
Pb 0.7151 0.7500 0.9060
O 0.5107 0.2500 0.4134
O 0.4846 0.7500 0.1832
O 0.9353 0.4829 0.6847
O 0.0647 0.5171 0.3153
O 0.9353 0.0171 0.6847
O 0.4893 0.7500 0.5866
O 0.0647 0.9829 0.3153
O 0.5154 0.2500 0.8168
In 0.8117 0.7500 0.4443
In 0.1883 0.2500 0.5557
Al 0.2829 0.7500 0.3458
Al 0.7171 0.2500 0.6542

---

# 12
A plane-wave DFT calculation with PBE-GGA was carried out for a relaxed Ba3DyB9O18 crystal.

Values from the calculation:
Energy relative to the elements, uncorrected, eV per atom: -2.7263
Total moment, μB per formula unit: 0.0
E, eV for the cell shown: -488.458

Lattice parameters (Å, degrees): 7.2778 7.2778 17.4122 90.00 90.00 120.00
Fractional coordinates of all 62 atoms:
Ba 0.6667 0.3333 0.8684
Ba 0.6667 0.3333 0.6316
Ba 0.0000 0.0000 0.2500
Ba 0.3333 0.6667 0.1316
Ba 0.3333 0.6667 0.3684
Ba 0.0000 0.0000 0.7500
O 0.7548 0.0049 0.0810
O 0.1675 0.4580 0.7500
O 0.2501 0.2452 0.0810
O 0.2904 0.8325 0.7500
O 0.6197 0.4963 0.0821
O 0.7499 0.7548 0.9190
O 0.6197 0.4963 0.4179
O 0.9951 0.7499 0.4190
O 0.5037 0.1234 0.4179
O 0.6668 0.0805 0.7500
O 0.2501 0.2452 0.4190
O 0.9195 0.5863 0.7500
O 0.0049 0.2501 0.5810
O 0.0805 0.4137 0.2500
O 0.0049 0.2501 0.9190
O 0.4580 0.2904 0.2500
O 0.9951 0.7499 0.0810
O 0.8325 0.5420 0.2500
O 0.5037 0.1234 0.0821
O 0.8766 0.3803 0.4179
O 0.1234 0.6197 0.5821
O 0.3803 0.5037 0.5821
O 0.4137 0.3332 0.7500
O 0.7548 0.0049 0.4190
O 0.5420 0.7096 0.7500
O 0.2452 0.9951 0.5810
O 0.8766 0.3803 0.0821
O 0.7096 0.1675 0.2500
O 0.4963 0.8766 0.9179
O 0.5863 0.6668 0.2500
O 0.2452 0.9951 0.9190
O 0.3332 0.9195 0.2500
O 0.7499 0.7548 0.5810
O 0.3803 0.5037 0.9179
O 0.1234 0.6197 0.9179
O 0.4963 0.8766 0.5821
B 0.8828 0.3785 0.2500
B 0.4497 0.2845 0.4180
B 0.5503 0.7155 0.5820
B 0.1652 0.4497 0.5820
B 0.7155 0.1652 0.0820
B 0.2845 0.8348 0.5820
B 0.2845 0.8348 0.9180
B 0.7155 0.1652 0.4180
B 0.8348 0.5503 0.4180
B 0.5043 0.8828 0.7500
B 0.4957 0.1172 0.2500
B 0.5503 0.7155 0.9180
B 0.1172 0.6215 0.7500
B 0.1652 0.4497 0.9180
B 0.6215 0.5043 0.2500
B 0.3785 0.4957 0.7500
B 0.4497 0.2845 0.0820
B 0.8348 0.5503 0.0820
Dy 0.0000 0.0000 0.5000
Dy 0.0000 0.0000 0.0000